Crystalline PmDy2ScSe6 at its relaxed geometry. Source: Alexandria via LeMat-Bulk, functional PBE.

Symmetry ... No. 146
Magnetization ... 0.00 μB per formula unit
Energy relative to the elements, uncorrected ... -1.791 eV per atom
E_tot ... -5.91 eV per atom

Structure (POSCAR):
```
PmDy2ScSe6
1.0
7.160 0.000 0.000
3.580 6.201 0.000
3.580 2.067 6.436
Sc Se Dy Pm
1 6 2 1
Direct
0.322 0.322 0.034
0.122 0.407 0.758
0.713 0.122 0.758
0.935 0.594 0.248
0.224 0.935 0.248
0.407 0.713 0.758
0.594 0.224 0.248
0.012 0.012 0.963
0.517 0.517 0.449
0.816 0.816 0.553
```

Crystalline Pm2Sm5DySc at its relaxed geometry. Source: Alexandria via LeMat-Bulk, functional PBE.

Symmetry ... No. 63
Magnetization ... 0.00 μB per formula unit
E_tot ... -4.77 eV per atom

Structure (POSCAR):
```
Pm2Sm5DySc
1.0
-3.133 3.724 2.308
1.478 -7.702 8.147
8.257 4.966 3.197
Sm Dy Pm Sc
10 2 4 2
Direct
0.278 0.556 0.696
0.722 0.444 0.821
0.722 0.444 0.196
0.500 0.000 0.258
0.500 0.000 0.758
0.373 0.746 0.008
0.999 0.998 0.008
0.627 0.254 0.508
0.001 0.002 0.508
0.278 0.556 0.321
0.602 0.204 0.008
0.398 0.796 0.508
0.884 0.768 0.761
0.116 0.233 0.756
0.116 0.232 0.261
0.884 0.767 0.256
0.214 0.427 0.008
0.786 0.573 0.508
```